Material: Ba3NaSb2O9
Method: DFT, GGA-PBE
State: relaxed

Space-group type = P-3m1 (164)
Raw formation energy = -2.013 eV/atom
E = -6.0100 eV per atom
V = 15.1 A^3/atom

Cell and atoms, written as POSCAR:
```
Ba3NaSb2O9
1.0
5.9416 0.0000 0.0000
-2.9708 5.1456 0.0000
0.0000 0.0000 7.4137
Ba Na Sb O
3 1 2 9
Cartesian
0.0000 0.0000 0.0000
0.0000 3.4304 4.8257
2.9708 1.7152 2.5880
0.0000 0.0000 3.7068
0.0000 3.4304 1.2113
2.9708 1.7152 6.2024
-1.4854 2.5728 0.0000
0.0000 1.8075 2.3058
-1.4055 4.2419 2.3058
1.5654 0.9038 5.1079
2.9708 0.0000 0.0000
1.4854 2.5728 0.0000
1.4055 4.2419 2.3058
4.3763 0.9038 5.1079
2.9708 3.3381 5.1079
```

Material: Ba2NaSr2Sb3O12
Method: DFT, GGA-PBE
State: relaxed

Space-group type = P-4n2 (118)
Raw formation energy = -2.120 eV/atom
E = -6.1401 eV per atom
V = 14.4 A^3/atom

Cell and atoms, written as POSCAR:
```
Ba2NaSr2Sb3O12
1.0
8.2807 0.0000 0.0000
0.0000 8.2807 0.0000
0.0000 0.0000 8.4045
Ba Na Sr Sb O
4 2 4 6 24
Cartesian
2.0553 2.0850 2.1011
2.0850 6.2254 6.3034
6.1957 2.0553 6.3034
6.2254 6.1957 2.1011
0.0000 0.0000 0.0000
4.1404 4.1404 4.2023
2.0451 2.0953 6.3034
2.0953 6.2356 2.1011
6.1854 2.0451 2.1011
6.2356 6.1854 6.3034
0.0000 0.0000 4.2023
0.0000 4.1404 8.4004
0.0000 4.1404 4.2064
4.1404 0.0000 0.0041
4.1404 0.0000 4.1982
4.1404 4.1404 0.0000
0.0000 0.0000 2.2831
0.0000 0.0000 6.1214
0.0000 4.1404 2.1011
0.0000 4.1404 6.3034
0.3100 2.2526 8.3278
0.3540 6.2103 4.1199
1.8877 3.8304 4.2790
2.0704 0.3540 4.2847
2.0699 4.4943 0.0824
2.2526 7.9707 0.0767
3.7864 2.0699 8.3222
3.8304 6.3930 4.1255
4.1404 0.0000 2.1011
4.1404 0.0000 6.3034
4.1404 4.1404 1.9192
4.1404 4.1404 6.4854
4.4503 1.8877 4.1255
4.4943 6.2108 8.3222
6.0281 0.3100 0.0767
6.2108 3.7864 0.0824
6.2103 7.9267 4.2847
6.3930 4.4503 4.2790
7.9267 2.0704 4.1199
7.9707 6.0281 8.3278
```

Material: Ba2NaSr2Sb3O12
Method: DFT, GGA-PBE
State: relaxed

Space-group type = Cmce (64)
Raw formation energy = -2.122 eV/atom
E = -6.1413 eV per atom
V = 14.4 A^3/atom

Cell and atoms, written as POSCAR:
```
Ba2NaSr2Sb3O12
1.0
5.9219 -5.8780 0.0000
5.9219 5.8780 0.0000
0.0000 0.0000 8.2827
Ba Na Sr Sb O
4 2 4 6 24
Cartesian
5.9219 2.9360 2.0987
5.9219 2.9419 6.2400
5.9219 -2.9419 2.0427
5.9219 -2.9360 6.1840
0.0000 0.0000 0.0000
5.9219 0.0000 4.1413
2.9609 0.0463 2.0707
2.9609 -0.0463 6.2120
8.8828 0.0463 2.0707
8.8828 -0.0463 6.2120
0.0000 0.0000 4.1413
2.9609 2.9390 0.0000
2.9609 2.9390 4.1413
2.9609 -2.9390 0.0000
2.9609 -2.9390 4.1413
5.9219 0.0000 0.0000
1.4997 1.4540 3.9048
1.6453 1.5650 0.2391
5.9219 5.6458 2.2457
2.9609 2.5498 6.2120
4.2766 1.5650 3.9022
1.4997 -1.4540 4.3778
4.4222 1.4540 0.2365
1.6453 -1.5650 8.0436
2.9609 -2.5498 2.0707
5.9219 0.2322 6.3870
4.2766 -1.5650 4.3804
4.4222 -1.4540 8.0462
7.4216 1.4540 0.2365
7.5672 1.5650 3.9022
5.9219 -0.2322 1.8957
8.8828 2.5498 6.2120
10.1985 1.5650 0.2391
7.4216 -1.4540 8.0462
10.3441 1.4540 3.9048
7.5672 -1.5650 4.3804
8.8828 -2.5498 2.0707
5.9219 -5.6458 6.0370
10.1985 -1.5650 8.0436
10.3441 -1.4540 4.3778
```

Material: BaNaSe2O8
Method: DFT, GGA-PBE
State: relaxed

Space-group type = P-3m1 (164)
Raw formation energy = -1.217 eV/atom
E = -5.3739 eV per atom
V = 18.6 A^3/atom

Cell and atoms, written as POSCAR:
```
BaNaSe2O8
1.0
5.6537 0.0000 0.0000
-2.8269 4.8963 0.0000
0.0000 0.0000 8.0772
Ba Na Se O
1 1 2 8
Cartesian
0.0000 0.0000 0.0000
0.0000 0.0000 4.0386
0.0000 3.2642 6.2801
2.8269 1.6321 1.7971
0.0000 1.6778 5.7520
-1.3738 4.0573 5.7520
0.0000 3.2642 7.9594
1.4530 0.8389 2.3252
1.3738 4.0573 5.7520
2.8269 1.6321 0.1178
4.2007 0.8389 2.3252
2.8269 3.2184 2.3252
```

Material: Ba2NaSe2O6
Method: DFT, GGA-PBE
State: relaxed

Space-group type = R-3m (166)
Raw formation energy = -1.623 eV/atom
E = -5.4308 eV per atom
V = 16.8 A^3/atom

Cell and atoms, written as POSCAR:
```
Ba2NaSe2O6
1.0
2.8870 1.6668 6.4141
-2.8870 1.6668 6.4141
0.0000 -3.3337 6.4141
Ba Na Se O
2 1 2 6
Cartesian
0.0000 0.0000 4.0376
0.0000 0.0000 15.2046
0.0000 0.0000 0.0000
0.0000 0.0000 7.4183
0.0000 0.0000 11.8240
-1.3691 -0.7905 11.0553
0.0000 -1.5809 8.1870
-1.3691 0.7905 8.1870
1.3691 -0.7905 11.0552
0.0000 1.5809 11.0552
1.3691 0.7905 8.1870
```

Material: Ba2NaSeO6
Method: DFT, GGA-PBE
State: relaxed

Space-group type = Fm-3m (225)
Raw formation energy = -1.745 eV/atom
E = -5.5852 eV per atom
V = 14.4 A^3/atom

Cell and atoms, written as POSCAR:
```
Ba2NaSeO6
1.0
0.0000 4.1614 4.1614
4.1614 0.0000 4.1614
4.1614 4.1614 0.0000
Ba Na Se O
2 1 1 6
Cartesian
2.0807 2.0807 2.0807
6.2421 6.2421 6.2421
0.0000 0.0000 0.0000
4.1614 4.1614 4.1614
4.1614 4.1614 2.3355
4.1614 2.3355 4.1614
5.9873 4.1614 4.1614
2.3355 4.1614 4.1614
4.1614 5.9873 4.1614
4.1614 4.1614 5.9873
```

Computed values of M_tot (unit: μB per cell) for the preceding records, in sequence: 0.94; 0.00; 0.00; 1.13; 0.00; 1.06.